Entry 1:
The following is a DFT calculation (PBEsol) of an optimized crystal structure of ZrZnNi6.

Calculated volume (Å³ per atom): 11.75
Energy of formation from the pure elements (eV per atom): -0.285
SG: Cmmm, No. 65
DFT total energy (eV per atom): -6.24

a b c (Å): 6.252 6.252 10.238
angles (deg): 90.00 90.00 110.05
Each line ends with the local moment (μB).
Sites, in units of the cell vectors:
1 Ni 0.635 0.881 0.870  0.09
2 Ni 0.119 0.365 0.130  0.09
3 Ni 0.752 0.248 0.257  0.17
4 Ni 0.365 0.119 0.870  0.09
5 Ni 0.635 0.881 0.130  0.09
6 Ni 0.000 0.000 0.000  0.14
7 Ni 0.113 0.368 0.380  0.27
8 Ni 0.632 0.887 0.620  0.27
9 Ni 0.000 0.000 0.500  0.43
10 Ni 0.881 0.635 0.870  0.09
11 Ni 0.500 0.500 0.000  0.04
12 Ni 0.752 0.248 0.743  0.17
13 Ni 0.248 0.752 0.743  0.17
14 Ni 0.500 0.500 0.500  0.17
15 Ni 0.368 0.113 0.380  0.27
16 Ni 0.368 0.113 0.620  0.27
17 Ni 0.632 0.887 0.380  0.27
18 Ni 0.119 0.365 0.870  0.09
19 Ni 0.248 0.752 0.257  0.17
20 Ni 0.365 0.119 0.130  0.09
21 Ni 0.113 0.368 0.620  0.27
22 Ni 0.887 0.632 0.620  0.27
23 Ni 0.887 0.632 0.380  0.27
24 Ni 0.881 0.635 0.130  0.09
25 Zn 0.741 0.259 0.500  -0.01
26 Zn 0.259 0.741 0.500  -0.01
27 Zn 0.000 0.000 0.255  -0.01
28 Zn 0.000 0.000 0.745  -0.01
29 Zr 0.256 0.744 0.000  -0.03
30 Zr 0.744 0.256 0.000  -0.03
31 Zr 0.500 0.500 0.745  -0.04
32 Zr 0.500 0.500 0.255  -0.04

Entry 2:
The following is a DFT calculation (PBEsol) of an optimized crystal structure of BaScCl2.

Calculated volume (Å³ per atom): 25.73
SG: P4mm, No. 99
DFT total energy (eV per atom): -4.60
Formation energy (no corrections) (meV per atom): -1409
E above lowest polymorph (meV/atom): 0

a b c (Å): 3.718 3.718 7.445
angles (deg): 90.00 90.00 90.00
Sites, in units of the cell vectors:
1 Sc 0.000 0.000 0.373
2 Cl 0.000 0.000 0.024
3 Cl 0.500 0.500 0.334
4 Ba 0.500 0.500 0.769

Entry 3:
The following is a DFT calculation (PBEsol) of an optimized crystal structure of TeRuRh3.

Calculated volume (Å³ per atom): 19.58
SG: Pm-3m, No. 221
DFT total energy (eV per atom): -6.37
Formation energy (no corrections) (meV per atom): 1257

a b c (Å): 4.609 4.609 4.609
angles (deg): 90.00 90.00 90.00
Sites, in units of the cell vectors:
1 Rh 0.000 0.500 0.000
2 Rh 0.000 0.000 0.500
3 Rh 0.500 0.000 0.000
4 Ru 0.000 0.000 0.000
5 Te 0.500 0.500 0.500

Entry 4:
The following is a DFT calculation (PBEsol) of an optimized crystal structure of CdCu3B.

Calculated volume (Å³ per atom): 12.49
Energy of formation from the pure elements (eV per atom): 0.184
SG: Pm-3m, No. 221
DFT total energy (eV per atom): -4.06

a b c (Å): 3.968 3.968 3.968
angles (deg): 90.00 90.00 90.00
Sites, in units of the cell vectors:
1 B 0.000 0.000 0.000
2 Cu 0.000 0.000 0.500
3 Cu 0.000 0.500 0.000
4 Cu 0.500 0.000 0.000
5 Cd 0.500 0.500 0.500

Entry 5:
The following is a DFT calculation (PBEsol) of an optimized crystal structure of NiAu2.

Calculated volume (Å³ per atom): 14.81
Energy of formation from the pure elements (eV per atom): 0.079
SG: Pnma, No. 62
DFT total energy (eV per atom): -4.59

a b c (Å): 3.963 5.488 8.175
angles (deg): 90.00 90.00 90.00
Sites, in units of the cell vectors:
1 Au 0.250 0.094 0.236
2 Au 0.250 0.145 0.577
3 Au 0.250 0.645 0.923
4 Au 0.250 0.594 0.264
5 Au 0.750 0.355 0.077
6 Au 0.750 0.906 0.764
7 Au 0.750 0.855 0.423
8 Au 0.750 0.406 0.736
9 Ni 0.250 0.137 0.915
10 Ni 0.750 0.363 0.415
11 Ni 0.250 0.637 0.585
12 Ni 0.750 0.863 0.085

Entry 6:
The following is a DFT calculation (PBEsol) of an optimized crystal structure of Rb2SbBr2.

Calculated volume (Å³ per atom): 41.30
SG: I4/mmm, No. 139
DFT total energy (eV per atom): -2.93
Formation energy (no corrections) (meV per atom): -859

a b c (Å): 6.634 6.635 6.634
angles (deg): 120.00 90.00 120.00
Each line ends with the local moment (μB).
Sites, in units of the cell vectors:
1 Sb 0.000 0.000 0.000  0.31
2 Br 0.305 0.609 0.305  0.03
3 Br 0.695 0.391 0.695  0.03
4 Rb 0.250 0.500 0.750  0.00
5 Rb 0.750 0.500 0.250  0.00